Density functional theory data (PBE) for an optimized crystal structure of CoTc2Ge4.

The space group is I4/mmm (No. 139) and the conventional cell measures 4.5309, 4.5309 and 12.3065 Å, with angles of 90.00, 90.00 and 90.00 degrees. The inequivalent atoms are Co at (0.0000, 0.0000, 0.0000), Tc at (0.0000, 0.0000, 0.3919), Ge at (0.0000, 0.0000, 0.1901) and Ge at (0.0000, 0.5000, 0.0000).

The value obtained for the relative energy among the computed polymorphs is 0.6453 eV/atom. The energy comes out at -6.0890 eV/atom. As for the size of the total moment: 3.2 μB/f.u. Its formation energy from the elements is 0.526 eV per atom.